{"formula": "ThPaSe", "functional": "PBE-GGA", "state": "optimized geometry", "lattice": [[-0.674, 0.757, 3.412], [-3.947, -6.328, 2.482], [11.318, 9.206, 2.049]], "species": ["Se", "Se", "Th", "Th", "Pa", "Pa"], "frac_coords": [[0.879, 0.493, 0.748], [0.121, 0.507, 0.252], [0.484, 0.904, 0.127], [0.516, 0.096, 0.873], [0.665, 0.202, 0.467], [0.335, 0.798, 0.533]], "total_energy_ev_per_atom": -7.22, "e_form_raw_ev_per_fu": -1.26, "sg": "C2/m"}